Entry 1:
Density functional theory data (PBE) for Ba2InPd2 after structural relaxation.

Geometry as CIF:
```
data_Ba2InPd2
_chemical_formula_sum 'Ba4 In2 Pd4'
_symmetry_space_group_name_H-M 'I 4/m m m'
_symmetry_Int_Tables_number 139
_symmetry_space_group_name_Hall '-I 4 2'
_cell_length_a 6.277
_cell_length_b 6.277
_cell_length_c 8.198
_cell_angle_alpha 90.00
_cell_angle_beta 90.00
_cell_angle_gamma 90.00
loop_
_atom_site_label
_atom_site_fract_x
_atom_site_fract_y
_atom_site_fract_z
Ba1 0.000 0.500 0.250
In1 0.000 0.000 0.000
Pd1 0.000 0.000 0.332
```

## Properties
* energy: -3.802 eV/atom
* formation enthalpy at 0 K: -408 meV/atom
* Fermi-level density of states: 5.49 states/eV per cell

Entry 2:
Density functional theory data (PBE) for TlCd3Hg3 after structural relaxation.

Geometry as CIF:
```
data_TlCd3Hg3
_chemical_formula_sum 'Tl6 Cd18 Hg18'
_symmetry_space_group_name_H-M 'R -3'
_symmetry_Int_Tables_number 148
_symmetry_space_group_name_Hall '-R 3'
_cell_length_a 8.0490
_cell_length_b 8.0490
_cell_length_c 19.8925
_cell_angle_alpha 90.00
_cell_angle_beta 90.00
_cell_angle_gamma 120.00
loop_
_atom_site_label
_atom_site_fract_x
_atom_site_fract_y
_atom_site_fract_z
Tl1 0.0000 0.0000 0.1584
Cd1 0.0049 0.7795 0.5649
Hg1 0.0267 0.5888 0.3834
```

## Properties
* energy: -0.828 eV/atom
* formation enthalpy at 0 K: 31 meV/atom
* Fermi-level density of states: 13.22 states/eV per cell
* energy above the most stable polymorph in this dataset: 15 meV per atom

Entry 3:
Density functional theory data (PBE) for LuHf3H after structural relaxation.

Geometry as CIF:
```
data_LuHf3H
_chemical_formula_sum 'Lu1 Hf3 H1'
_symmetry_space_group_name_H-M 'P m -3 m'
_symmetry_Int_Tables_number 221
_symmetry_space_group_name_Hall '-P 4 2 3'
_cell_length_a 4.569
_cell_length_b 4.569
_cell_length_c 4.569
_cell_angle_alpha 90.00
_cell_angle_beta 90.00
_cell_angle_gamma 90.00
loop_
_atom_site_label
_atom_site_fract_x
_atom_site_fract_y
_atom_site_fract_z
Lu1 0.000 0.000 0.000
Hf1 0.000 0.500 0.500
H1 0.500 0.500 0.500
```

## Properties
* energy: -7.550 eV/atom
* Fermi-level density of states: 7.21 states/eV per cell

Entry 4:
Density functional theory data (PBE) for Ce2ZrMnN5 after structural relaxation.

Geometry as CIF:
```
data_Ce2ZrMnN5
_chemical_formula_sum 'Ce4 Zr2 Mn2 N10'
_symmetry_space_group_name_H-M 'P 4/m b m'
_symmetry_Int_Tables_number 127
_symmetry_space_group_name_Hall '-P 4 2ab'
_cell_length_a 6.352
_cell_length_b 6.352
_cell_length_c 5.719
_cell_angle_alpha 90.00
_cell_angle_beta 90.00
_cell_angle_gamma 90.00
loop_
_atom_site_label
_atom_site_fract_x
_atom_site_fract_y
_atom_site_fract_z
Ce1 0.165 0.335 0.000
Zr1 0.000 0.000 0.500
Mn1 0.000 0.500 0.500
N1 0.000 0.000 0.000
N2 0.159 0.659 0.281
```

## Properties
* energy: -8.672 eV/atom
* formation energy without anion corrections: -73 kJ/mol of atoms
* Fermi-level density of states: 6.30 states/eV per cell

Entry 5:
Density functional theory data (PBE) for LiScAu after structural relaxation.

Geometry as CIF:
```
data_LiScAu
_chemical_formula_sum 'Li4 Sc4 Au4'
_symmetry_space_group_name_H-M 'F -4 3 m'
_symmetry_Int_Tables_number 216
_symmetry_space_group_name_Hall 'F -4 2 3'
_cell_length_a 6.393
_cell_length_b 6.393
_cell_length_c 6.393
_cell_angle_alpha 90.00
_cell_angle_beta 90.00
_cell_angle_gamma 90.00
loop_
_atom_site_label
_atom_site_fract_x
_atom_site_fract_y
_atom_site_fract_z
Li1 0.000 0.000 0.000
Sc1 0.250 0.250 0.750
Au1 0.000 0.000 0.500
```

## Properties
* energy: -3.911 eV/atom
* formation enthalpy at 0 K: -70 meV/atom
* Fermi-level density of states: 11.34 states/eV per cell
* energy above the most stable polymorph in this dataset: 460 meV per atom

Entry 6:
Density functional theory data (PBE) for DyErO3 after structural relaxation.

Geometry as CIF:
```
data_DyErO3
_chemical_formula_sum 'Dy6 Er6 O18'
_symmetry_space_group_name_H-M 'P 63 c m'
_symmetry_Int_Tables_number 185
_symmetry_space_group_name_Hall 'P 6c -2'
_cell_length_a 6.3939
_cell_length_b 6.3939
_cell_length_c 12.6863
_cell_angle_alpha 90.00
_cell_angle_beta 90.00
_cell_angle_gamma 120.00
loop_
_atom_site_label
_atom_site_fract_x
_atom_site_fract_y
_atom_site_fract_z
Dy1 0.0000 0.0000 0.0000
Dy2 0.3333 0.6667 0.4662
Er1 0.0000 0.3331 0.2311
O1 0.0000 0.0000 0.1971
O2 0.0000 0.3051 0.4043
O3 0.0000 0.3646 0.0596
O4 0.3333 0.6667 0.2588
```

## Properties
* energy: -8.341 eV/atom
* formation energy without anion corrections: -341 kJ/mol of atoms
* Fermi-level density of states: 0.00 states/eV per cell

Entry 7:
Density functional theory data (PBE) for SrBeHg2 after structural relaxation.

Geometry as CIF:
```
data_SrBeHg2
_chemical_formula_sum 'Sr1 Be1 Hg2'
_symmetry_space_group_name_H-M 'P 1 2/m 1'
_symmetry_Int_Tables_number 10
_cell_length_a 3.986
_cell_length_b 3.865
_cell_length_c 6.752
_cell_angle_alpha 90.00
_cell_angle_beta 106.53
_cell_angle_gamma 90.00
loop_
_symmetry_equiv_pos_as_xyz
'x,y,z'
'-x,-y,-z'
'-x,y,-z'
'x,-y,z'
loop_
_atom_site_label
_atom_site_fract_x
_atom_site_fract_y
_atom_site_fract_z
Sr1 0.000 0.000 0.000
Be1 0.500 0.000 0.500
Hg1 0.348 0.500 0.693
```

## Properties
* energy: -1.503 eV/atom
* formation enthalpy at 0 K: 0 meV/atom
* Fermi-level density of states: 0.95 states/eV per cell

Entry 8:
Density functional theory data (PBE) for DyTmInTc after structural relaxation.

Geometry as CIF:
```
data_DyTmInTc
_chemical_formula_sum 'Dy4 Tm4 In4 Tc4'
_symmetry_space_group_name_H-M 'F -4 3 m'
_symmetry_Int_Tables_number 216
_symmetry_space_group_name_Hall 'F -4 2 3'
_cell_length_a 7.129
_cell_length_b 7.129
_cell_length_c 7.129
_cell_angle_alpha 90.00
_cell_angle_beta 90.00
_cell_angle_gamma 90.00
loop_
_atom_site_label
_atom_site_fract_x
_atom_site_fract_y
_atom_site_fract_z
Dy1 0.000 0.000 0.000
Tm1 0.000 0.000 0.500
In1 0.250 0.250 0.750
Tc1 0.250 0.250 0.250
```

## Properties
* energy: -5.714 eV/atom
* formation enthalpy at 0 K: -170 meV/atom
* Fermi-level density of states: 12.07 states/eV per cell

Entry 9:
Density functional theory data (PBE) for Ti3ReIr after structural relaxation.

Geometry as CIF:
```
data_Ti3ReIr
_chemical_formula_sum 'Ti3 Re1 Ir1'
_symmetry_space_group_name_H-M 'P m -3 m'
_symmetry_Int_Tables_number 221
_symmetry_space_group_name_Hall '-P 4 2 3'
_cell_length_a 4.643
_cell_length_b 4.643
_cell_length_c 4.643
_cell_angle_alpha 90.00
_cell_angle_beta 90.00
_cell_angle_gamma 90.00
loop_
_atom_site_label
_atom_site_fract_x
_atom_site_fract_y
_atom_site_fract_z
Ti1 0.000 0.000 0.500
Re1 0.000 0.000 0.000
Ir1 0.500 0.500 0.500
```

## Properties
* energy: -8.162 eV/atom
* formation enthalpy at 0 K: 837 meV/atom
* Fermi-level density of states: 12.45 states/eV per cell

Entry 10:
Density functional theory data (PBE) for PmYCu4 after structural relaxation.

Geometry as CIF:
```
data_PmYCu4
_chemical_formula_sum 'Pm4 Y4 Cu16'
_symmetry_space_group_name_H-M 'F -4 3 m'
_symmetry_Int_Tables_number 216
_symmetry_space_group_name_Hall 'F -4 2 3'
_cell_length_a 7.509
_cell_length_b 7.509
_cell_length_c 7.509
_cell_angle_alpha 90.00
_cell_angle_beta 90.00
_cell_angle_gamma 90.00
loop_
_atom_site_label
_atom_site_fract_x
_atom_site_fract_y
_atom_site_fract_z
Pm1 0.000 0.000 0.000
Y1 0.250 0.250 0.750
Cu1 0.124 0.124 0.376
```

## Properties
* energy: -4.729 eV/atom
* formation enthalpy at 0 K: -129 meV/atom
* Fermi-level density of states: 12.39 states/eV per cell
* energy above the most stable polymorph in this dataset: 115 meV per atom

Entry 11:
Density functional theory data (PBE) for Ca2TbGa4 after structural relaxation.

Geometry as CIF:
```
data_Ca2TbGa4
_chemical_formula_sum 'Ca4 Tb2 Ga8'
_symmetry_space_group_name_H-M 'I m m m'
_symmetry_Int_Tables_number 71
_symmetry_space_group_name_Hall '-I 2 2'
_cell_length_a 4.030
_cell_length_b 4.317
_cell_length_c 19.108
_cell_angle_alpha 90.00
_cell_angle_beta 90.00
_cell_angle_gamma 90.00
loop_
_atom_site_label
_atom_site_fract_x
_atom_site_fract_y
_atom_site_fract_z
Ca1 0.000 0.000 0.188
Tb1 0.000 0.500 0.000
Ga1 0.000 0.000 0.362
Ga2 0.000 0.500 0.435
```

## Properties
* energy: -3.506 eV/atom
* formation enthalpy at 0 K: -543 meV/atom
* Fermi-level density of states: 8.33 states/eV per cell

Entry 12:
Density functional theory data (PBE) for BaMg14Co after structural relaxation.

Geometry as CIF:
```
data_BaMg14Co
_chemical_formula_sum 'Ba1 Mg14 Co1'
_symmetry_space_group_name_H-M 'P -6 m 2'
_symmetry_Int_Tables_number 187
_symmetry_space_group_name_Hall 'P -6 2'
_cell_length_a 6.5125
_cell_length_b 6.5125
_cell_length_c 10.4487
_cell_angle_alpha 90.00
_cell_angle_beta 90.00
_cell_angle_gamma 120.00
loop_
_atom_site_label
_atom_site_fract_x
_atom_site_fract_y
_atom_site_fract_z
Ba1 0.0000 0.0000 0.0000
Mg1 0.0160 0.5080 0.0000
Mg2 0.1621 0.3241 0.2819
Mg3 0.5076 0.0152 0.5000
Mg4 0.6667 0.3333 0.2368
Co1 0.0000 0.0000 0.5000
```

## Properties
* energy: -1.816 eV/atom
* formation enthalpy at 0 K: 143 meV/atom
* Fermi-level density of states: 8.99 states/eV per cell
* energy above the most stable polymorph in this dataset: 22 meV per atom

Look up the Fermi-level density of states of the ninth one. 12.45 states/eV per cell